A relaxed structure of PrZnSi2, computed with GGA-PBE.

Unit cell a=5.2247 b=5.2247 c=10.7822 alpha=90.00 beta=90.00 gamma=120.00
Space group R-3m (No. 166, hexagonal axes)
One atom of each set of equivalent atoms:
Pr (0.0000, 0.0000, 0.0000) (multiplicity 3)
Zn (0.0000, 0.0000, 0.5000) (multiplicity 3)
Si (0.0000, 0.0000, 0.2758) (multiplicity 6)

Summary:
The formation energy without anion corrections comes out at 0.012 eV/atom.